(1)
Computed, not measured: an optimized crystal structure of LaTaP2 at the PBE level of DFT.

The structure belongs to space group R-3m (No. 166, hexagonal axes); the cell edges are 3.8360, 3.8360 and 19.3513 Å and the angles 90.00°, 90.00° and 120.00°. Symmetry generates all atoms from La at (0.0000, 0.0000, 0.0000), Ta at (0.0000, 0.0000, 0.5000) and P at (0.0000, 0.0000, 0.2356).

The calculation puts the total magnetization at 0.00 μB/f.u. The value obtained for the formation energy is -1.061 eV/atom. The theoretical density comes out at 7.714 g/cm³.


(2)
Computed, not measured: an optimized crystal structure of LaTaP2 at the PBE level of DFT.

The structure belongs to space group R3m (No. 160, hexagonal axes); the cell edges are 3.7479, 3.7479 and 20.4006 Å and the angles 90.00°, 90.00° and 120.00°. Symmetry generates all atoms from La at (0.0000, 0.0000, 0.0000), Ta at (0.0000, 0.0000, 0.8234), P at (0.0000, 0.0000, 0.2286) and P at (0.0000, 0.0000, 0.4251).

The calculation puts the total magnetization at 0.00 μB/f.u. The value obtained for the formation energy is -1.008 eV/atom. The theoretical density comes out at 7.665 g/cm³.


(3)
Computed, not measured: an optimized crystal structure of LaTaP at the PBE level of DFT.

The structure belongs to space group P3m1 (No. 156); the cell edges are 3.6322, 3.6322 and 6.1399 Å and the angles 90.00°, 90.00° and 120.00°. Symmetry generates all atoms from La at (0.0000, 0.0000, 0.0000), Ta at (0.6667, 0.3333, 0.5344) and P at (0.3333, 0.6667, 0.3208).

The calculation puts the total magnetization at 0.91 μB/f.u. The value obtained for the formation energy is -0.410 eV/atom. The theoretical density comes out at 8.304 g/cm³.


(4)
Computed, not measured: an optimized crystal structure of LaTaP2 at the PBE level of DFT.

The structure belongs to space group I-42d (No. 122); the cell edges are 6.095, 6.095 and 11.940 Å and the angles 90.00°, 90.00° and 90.00°. Symmetry generates all atoms from La at (0.000, 0.000, 0.000), Ta at (0.000, 0.000, 0.500) and P at (0.184, 0.250, 0.625).

The calculation puts the total magnetization at 0.00 μB/f.u. The value obtained for the formation energy is -0.506 eV/atom. The theoretical density comes out at 5.716 g/cm³.


(5)
Computed, not measured: an optimized crystal structure of LaTa4P at the PBE level of DFT.

The structure belongs to space group F-43m (No. 216); the cell edges are 8.003, 8.003 and 8.003 Å and the angles 90.00°, 90.00° and 90.00°. Symmetry generates all atoms from La at (0.000, 0.000, 0.000), Ta at (0.127, 0.127, 0.373) and P at (0.250, 0.250, 0.750).

The calculation puts the total magnetization at 0.00 μB/f.u. The value obtained for the formation energy is 0.593 eV/atom. The theoretical density comes out at 11.581 g/cm³.


(6)
Computed, not measured: an optimized crystal structure of LaTaP at the PBE level of DFT.

The structure belongs to space group P-6m2 (No. 187); the cell edges are 4.2883, 4.2883 and 4.3534 Å and the angles 90.00°, 90.00° and 120.00°. Symmetry generates all atoms from La at (0.0000, 0.0000, 0.0000), Ta at (0.3333, 0.6667, 0.5000) and P at (0.6667, 0.3333, 0.5000).

The calculation puts the total magnetization at 0.00 μB/f.u. The value obtained for the formation energy is -0.364 eV/atom. The theoretical density comes out at 8.403 g/cm³.


(7)
Computed, not measured: an optimized crystal structure of LaTaP2 at the PBE level of DFT.

The structure belongs to space group I-4m2 (No. 119); the cell edges are 3.910, 3.910 and 10.810 Å and the angles 90.00°, 90.00° and 90.00°. Symmetry generates all atoms from La at (0.000, 0.000, 0.000), Ta at (0.000, 0.500, 0.250), P at (0.000, 0.000, 0.500) and P at (0.000, 0.500, 0.750).

The calculation puts the total magnetization at 0.00 μB/f.u. The value obtained for the formation energy is -0.125 eV/atom. The theoretical density comes out at 7.671 g/cm³.


(8)
Computed, not measured: an optimized crystal structure of La2TaP at the PBE level of DFT.

The structure belongs to space group Cm (No. 8); the cell edges are 11.179, 3.519 and 5.370 Å and the angles 90.00°, 108.82° and 90.00°. Symmetry generates all atoms from La at (0.000, 0.000, 0.000), La at (0.190, 0.000, 0.646), Ta at (0.301, 0.500, 0.262) and P at (0.449, 0.000, 0.512).

The calculation puts the total magnetization at 0.00 μB/f.u. The value obtained for the formation energy is -0.336 eV/atom. The theoretical density comes out at 8.135 g/cm³.